Record 1
PS GGA-PBE relaxed; calculated total energy = -3.99 eV per atom; SG = F-43m (216); formation energy without anion corrections = 1.6 eV/f.u.; total magnetization = 0.0 μB per cell
1.0
5.699 0.000 0.000
0.000 5.699 0.000
0.000 0.000 5.699
S P
4 4
direct
0.000 0.500 0.500
0.500 0.500 0.000
0.500 0.000 0.500
0.000 0.000 0.000
0.750 0.250 0.750
0.750 0.750 0.250
0.250 0.750 0.750
0.250 0.250 0.250

Record 2
NdHoScGa GGA-PBE relaxed; calculated total energy = -4.82 eV per atom; SG = F-43m (216); total magnetization = 1.1 μB per cell
1.0
5.261 0.000 0.000
2.630 4.556 0.000
2.630 1.519 4.295
Sc Ga Nd Ho
1 1 1 1
direct
0.500 0.500 0.500
0.000 0.000 0.000
0.750 0.750 0.750
0.250 0.250 0.250

Record 3
LaYTiTe2 GGA-PBE relaxed; calculated total energy = -5.33 eV per atom; SG = P4/mmm (123); formation energy without anion corrections = -1.1 eV/f.u.; total magnetization = 0.0 μB per cell
1.0
5.431 0.000 0.000
0.000 5.049 0.000
0.000 0.000 5.431
Te Y Ti La
2 1 1 1
direct
0.500 0.000 0.000
0.000 0.000 0.500
0.500 0.500 0.500
0.000 0.000 0.000
0.000 0.500 0.000

Record 4
PuBeNiC GGA-PBE relaxed; calculated total energy = -8.38 eV per atom; SG = P4/nmm (129); total magnetization = 8.8 μB per cell
1.0
3.558 0.000 0.000
0.000 3.558 0.000
0.000 0.000 8.010
Pu Be C Ni
2 2 2 2
direct
0.500 0.000 0.163
0.000 0.500 0.837
0.000 0.500 0.341
0.500 0.000 0.659
0.000 0.500 0.126
0.500 0.000 0.874
0.500 0.500 0.500
0.000 0.000 0.500

Record 5
CsAg2ICl8 GGA-PBE relaxed; calculated total energy = -2.46 eV per atom; SG = P-1 (2); formation energy without anion corrections = -6.6 eV/f.u.; total magnetization = 0.0 μB per cell
1.0
-6.106 0.602 1.507
-0.447 -7.263 1.940
1.172 -1.132 9.962
Cl Ag I Cs
8 2 1 1
direct
0.774 0.157 0.792
0.508 0.727 0.540
0.226 0.843 0.208
0.238 0.872 0.843
0.492 0.273 0.460
0.762 0.128 0.157
0.230 0.308 0.914
0.770 0.692 0.086
0.550 0.634 0.322
0.450 0.366 0.678
0.000 0.000 0.000
0.000 0.000 0.500

Record 6
Cd2RhAu2 GGA-PBE relaxed; calculated total energy = -2.99 eV per atom; SG = P4/mbm (127); total magnetization = 0.0 μB per cell
1.0
7.445 0.000 0.000
0.000 7.445 0.000
0.000 0.000 3.462
Cd Rh Au
4 2 4
direct
0.858 0.642 0.000
0.142 0.358 0.000
0.642 0.142 0.000
0.358 0.858 0.000
0.500 0.500 0.000
0.000 0.000 0.000
0.659 0.841 0.500
0.341 0.159 0.500
0.159 0.659 0.500
0.841 0.341 0.500

Record 7
NaTbPm2Se4 GGA-PBE relaxed; calculated total energy = -5.43 eV per atom; SG = P2/m (10); formation energy without anion corrections = -14.1 eV/f.u.; total magnetization = 0.0 μB per cell
1.0
4.152 0.000 0.000
0.000 7.233 0.158
0.000 -2.517 6.784
Pm Se Tb Na
2 4 1 1
direct
0.500 0.000 0.500
0.000 0.500 0.500
0.000 0.746 0.242
0.500 0.748 0.754
0.500 0.252 0.246
0.000 0.254 0.758
0.500 0.500 0.000
0.000 0.000 0.000

Record 8
SmThInHg GGA-PBE relaxed; calculated total energy = -4.16 eV per atom; SG = P4mm (99); total magnetization = 0.0 μB per cell
1.0
3.540 0.000 0.000
0.000 3.540 0.000
0.000 0.000 8.838
Hg Sm Th In
1 1 1 1
direct
0.500 0.500 0.114
0.000 0.000 0.353
0.000 0.000 0.860
0.500 0.500 0.601